[1]
VASP calculation (PBE) on a geometry-optimized BeSeO2F structure.

Output
The density of states at the Fermi level is 0.23 states/eV per atom. Its total energy is -4.736 eV per atom. The mass density is 5.1 g/cm³.

Cell: 3.7661 3.7661 3.2043 Å, 90.00 90.00 90.00°
Last column: nearest neighbours and their distance in Å.
Element x y z (fractional)
Be 0.0000 0.0000 0.0000  2 F 1.60
Se 0.5000 0.5000 0.5000  8 O 2.47, 4 F 2.66
O 0.0000 0.5000 0.0000  2 Be 1.88
O 0.5000 0.0000 0.0000  2 Be 1.88
F 0.0000 0.0000 0.5000  2 Be 1.60

---

[2]
VASP calculation (PBE) on a geometry-optimized NiMo2Rh structure.

Output
The formation energy is 0.07 eV per atom. The density of states at the Fermi level is 0.94 states/eV per atom. Its excess energy over the best structure of this formula in the dataset is 184.9 meV per atom. The mass density is 10.2 g/cm³.

Cell: 4.7768 4.7768 4.5284 Å, 101.47 101.47 34.57°
Last column: nearest neighbours and their distance in Å.
Element x y z (fractional)
Ni 0.0000 0.0000 0.0000  4 Rh 2.67, 6 Mo 2.70-2.76, 2 Ni 2.84
Mo 0.2525 0.2525 0.7538  6 Mo 2.65-2.84, 3 Ni 2.70-2.76, 3 Rh 2.74-2.75
Mo 0.7475 0.7475 0.2462  6 Mo 2.65-2.84, 3 Ni 2.70-2.76, 3 Rh 2.74-2.75
Rh 0.5000 0.5000 0.5000  4 Ni 2.67, 6 Mo 2.74-2.75, 2 Rh 2.84

---

[3]
VASP calculation (PBE) on a geometry-optimized Cr4RePb structure.

Output
The formation energy is 0.44 eV per atom. The density of states at the Fermi level is 1.31 states/eV per atom. The mass density is 12.0 g/cm³.

Cell: 4.8995 4.8995 4.8995 Å, 60.00 60.00 60.00°
Last column: nearest neighbours and their distance in Å.
Element x y z (fractional)
Cr 0.1239 0.1239 0.1239  6 Cr 2.43-2.47
Cr 0.1239 0.1239 0.6284  6 Cr 2.43-2.47
Cr 0.1239 0.6284 0.1239  6 Cr 2.43-2.47
Cr 0.6284 0.1239 0.1239  6 Cr 2.43-2.47
Re 0.5000 0.5000 0.5000  12 Cr 2.87, 4 Pb 3.00
Pb 0.7500 0.7500 0.7500  12 Cr 2.87, 4 Re 3.00

---

[4]
VASP calculation (PBE) on a geometry-optimized HfOs2O structure.

Output
The density of states at the Fermi level is 0.35 states/eV per atom. Its total energy is -9.383 eV per atom. The mass density is 16.0 g/cm³.

Cell: 5.6450 5.6450 5.6450 Å, 98.81 98.81 133.93°
Last column: nearest neighbours and their distance in Å.
Element x y z (fractional)
Hf 0.0000 0.0000 0.0000  2 O 2.21
Hf 0.7500 0.2500 0.5000  2 O 2.21
Os 0.2047 0.6250 0.0797  2 O 2.29, 2 Os 2.50
Os 0.3750 0.4547 0.5797  2 O 2.29, 2 Os 2.50
Os 0.5453 0.1250 0.9203  2 O 2.29, 2 Os 2.50
Os 0.8750 0.7953 0.4203  2 O 2.29, 2 Os 2.50
O 0.2500 0.7500 0.5000  2 Hf 2.21, 4 Os 2.29
O 0.5000 0.5000 0.0000  2 Hf 2.21, 4 Os 2.29

---

[5]
VASP calculation (PBE) on a geometry-optimized TbPm7Sm12 structure.

Output
The formation energy is 0.23 eV per atom. The density of states at the Fermi level is 1.95 states/eV per atom. Its excess energy over the best structure of this formula in the dataset is 0.0 meV per atom. The mass density is 7.1 g/cm³.

Cell: 8.8697 8.8697 8.8697 Å, 86.90 86.90 86.90°
Last column: nearest neighbours and their distance in Å.
Element x y z (fractional)
Tb 0.0000 0.0000 0.0000  6 Sm 3.48
Pm 0.0754 0.3958 0.1513  3 Pm 3.46-3.54, 7 Sm 3.57-3.83
Pm 0.1513 0.0754 0.3958  3 Pm 3.46-3.54, 7 Sm 3.57-3.83
Pm 0.3958 0.1513 0.0754  3 Pm 3.46-3.54, 7 Sm 3.57-3.83
Pm 0.5000 0.5000 0.5000  6 Sm 3.36
Pm 0.6042 0.8487 0.9246  3 Pm 3.46-3.54, 7 Sm 3.57-3.83
Pm 0.8487 0.9246 0.6042  3 Pm 3.46-3.54, 7 Sm 3.57-3.83
Pm 0.9246 0.6042 0.8487  3 Pm 3.46-3.54, 7 Sm 3.57-3.83
Sm 0.1341 0.6171 0.4937  4 Sm 3.24-3.44, 2 Pm 3.36-3.57
Sm 0.1478 0.2742 0.7462  3 Sm 3.26-3.44, 1 Tb 3.48, 2 Pm 3.57-3.65
Sm 0.2538 0.8522 0.7258  3 Sm 3.26-3.44, 1 Tb 3.48, 2 Pm 3.57-3.65
Sm 0.2742 0.7462 0.1478  3 Sm 3.26-3.44, 1 Tb 3.48, 2 Pm 3.57-3.65
Sm 0.3829 0.5063 0.8659  4 Sm 3.24-3.44, 2 Pm 3.36-3.57
Sm 0.4937 0.1341 0.6171  4 Sm 3.24-3.44, 2 Pm 3.36-3.57
Sm 0.5063 0.8659 0.3829  4 Sm 3.24-3.44, 2 Pm 3.36-3.57
Sm 0.6171 0.4937 0.1341  4 Sm 3.24-3.44, 2 Pm 3.36-3.57
Sm 0.7258 0.2538 0.8522  3 Sm 3.26-3.44, 1 Tb 3.48, 2 Pm 3.57-3.65
Sm 0.7462 0.1478 0.2742  3 Sm 3.26-3.44, 1 Tb 3.48, 2 Pm 3.57-3.65
Sm 0.8522 0.7258 0.2538  3 Sm 3.26-3.44, 1 Tb 3.48, 2 Pm 3.57-3.65
Sm 0.8659 0.3829 0.5063  4 Sm 3.24-3.44, 2 Pm 3.36-3.57

---

[6]
VASP calculation (PBE) on a geometry-optimized PmPr8Sn2 structure.

Output
The formation energy is -0.19 eV per atom. The density of states at the Fermi level is 1.24 states/eV per atom. The mass density is 6.6 g/cm³.

Cell: 8.9040 8.9040 6.0968 Å, 103.11 103.11 118.65°
Last column: nearest neighbours and their distance in Å.
Element x y z (fractional)
Pm 0.0000 0.0000 0.0000  4 Pr 3.32-3.47
Pr 0.0891 0.3186 0.6057  2 Sn 3.27-3.36, 4 Pr 3.34-3.66
Pr 0.2265 0.7735 0.0000  2 Sn 3.28, 1 Pm 3.47, 2 Pr 3.63
Pr 0.3186 0.0891 0.6057  2 Sn 3.27-3.36, 4 Pr 3.34-3.66
Pr 0.4049 0.4049 0.2033  2 Pr 3.24-3.60, 1 Pm 3.32, 2 Sn 3.40
Pr 0.5951 0.5951 0.7967  2 Pr 3.24-3.60, 1 Pm 3.32, 2 Sn 3.40
Pr 0.6814 0.9109 0.3943  2 Sn 3.27-3.36, 4 Pr 3.34-3.66
Pr 0.7735 0.2265 0.0000  2 Sn 3.28, 1 Pm 3.47, 2 Pr 3.63
Pr 0.9109 0.6814 0.3943  2 Sn 3.27-3.36, 4 Pr 3.34-3.66
Sn 0.3049 0.6951 0.5000  8 Pr 3.27-3.40
Sn 0.6951 0.3049 0.5000  8 Pr 3.27-3.40

---

Copy entry 2 word for word.
VASP calculation (PBE) on a geometry-optimized NiMo2Rh structure.

Output
The formation energy is 0.07 eV per atom. The density of states at the Fermi level is 0.94 states/eV per atom. Its excess energy over the best structure of this formula in the dataset is 184.9 meV per atom. The mass density is 10.2 g/cm³.

Cell: 4.7768 4.7768 4.5284 Å, 101.47 101.47 34.57°
Last column: nearest neighbours and their distance in Å.
Element x y z (fractional)
Ni 0.0000 0.0000 0.0000  4 Rh 2.67, 6 Mo 2.70-2.76, 2 Ni 2.84
Mo 0.2525 0.2525 0.7538  6 Mo 2.65-2.84, 3 Ni 2.70-2.76, 3 Rh 2.74-2.75
Mo 0.7475 0.7475 0.2462  6 Mo 2.65-2.84, 3 Ni 2.70-2.76, 3 Rh 2.74-2.75
Rh 0.5000 0.5000 0.5000  4 Ni 2.67, 6 Mo 2.74-2.75, 2 Rh 2.84

---

The lowest mass density belongs to which entry?
BeSeO2F

---

Please write out number 1 again, unchanged.
VASP calculation (PBE) on a geometry-optimized BeSeO2F structure.

Output
The density of states at the Fermi level is 0.23 states/eV per atom. Its total energy is -4.736 eV per atom. The mass density is 5.1 g/cm³.

Cell: 3.7661 3.7661 3.2043 Å, 90.00 90.00 90.00°
Last column: nearest neighbours and their distance in Å.
Element x y z (fractional)
Be 0.0000 0.0000 0.0000  2 F 1.60
Se 0.5000 0.5000 0.5000  8 O 2.47, 4 F 2.66
O 0.0000 0.5000 0.0000  2 Be 1.88
O 0.5000 0.0000 0.0000  2 Be 1.88
F 0.0000 0.0000 0.5000  2 Be 1.60

---

The lowest mass density belongs to which entry?
BeSeO2F